Record 1
DFT (PBE-GGA) results for MnBi after structural relaxation.

**Calculated formation energy**: 0.220 eV/atom
**SG**: Pmma (51)

Structure (extended XYZ):
```
8
Lattice="5.585 0.000 0.000 0.000 4.322 0.000 0.000 0.000 7.698" Properties=species:S:1:pos:R:3 pbc="T T T"
Mn 0.000 0.000 0.000
Mn 1.396 2.161 0.938
Mn 2.793 0.000 0.000
Mn 4.189 2.161 6.760
Bi 1.396 0.000 2.643
Bi 1.396 2.161 5.895
Bi 4.189 0.000 5.054
Bi 4.189 2.161 1.803
```

***

Record 2
DFT (PBE-GGA) results for PuScInOs after structural relaxation.

**Calculated formation energy**: -0.302 eV/atom
**SG**: P4mm (99)
**Excess energy over the best structure of this formula in the dataset**: 0 meV per atom

Structure (extended XYZ):
```
4
Lattice="3.224 0.000 0.000 0.000 3.224 0.000 0.000 0.000 8.150" Properties=species:S:1:pos:R:3 pbc="T T T"
Pu 0.000 0.000 0.000
Sc 0.000 0.000 3.383
In 1.612 1.612 5.634
Os 1.612 1.612 1.826
```